# YSbOs2 | Alexandria via LeMat-Bulk | GGA-PBE | optimized geometry
# E_form (uncorrected), meV/atom: 227
# Size of the total moment, μB per cell: 0.00
data_YSbOs2
_chemical_formula_sum 'Y1 Sb1 Os2'
_cell_length_a 3.099
_cell_length_b 3.099
_cell_length_c 8.092
_cell_angle_alpha 90.00
_cell_angle_beta 90.00
_cell_angle_gamma 90.00
_symmetry_space_group_name_H-M 'P 4 m m'
_symmetry_Int_Tables_number 99
loop_
_symmetry_equiv_pos_as_xyz
'x,y,z'
'-y,x,z'
'-x,-y,z'
'y,-x,z'
'-x,y,z'
'y,x,z'
'x,-y,z'
'-y,-x,z'
loop_
_atom_site_label
_atom_site_type_symbol
_atom_site_fract_x
_atom_site_fract_y
_atom_site_fract_z
_atom_site_occupancy
Y1 Y 0.000 0.000 0.000 1
Sb1 Sb 0.500 0.500 0.690 1
Os1 Os 0.000 0.000 0.447 1
Os2 Os 0.500 0.500 0.261 1